(1)
Ba2CuP after structural relaxation, computed with PBEsol.

## Properties
DOS at the Fermi energy: 1.41 states/eV/f.u.
Energy of formation from the pure elements: 0.2 eV per formula unit
Crystal system: cubic

abc: 5.3165 5.3165 5.3165
angles: 60.00 60.00 60.00
Last column: nearest neighbours and their distance in Å.
Atoms (fractional coordinates):
Ba 0.0000 0.0000 0.0000  4 Ba 3.26, 4 P 3.26
Ba 0.7500 0.7500 0.7500  4 Cu 3.26, 4 Ba 3.26
Cu 0.5000 0.5000 0.5000  4 Ba 3.26, 4 P 3.26
P 0.2500 0.2500 0.2500  4 Ba 3.26, 4 Cu 3.26

(2)
BaCuPS2 after structural relaxation, computed with PBEsol.

## Properties
DOS at the Fermi energy: 5.41 states/eV/f.u.
Formation energy from raw total energies: 1.28 eV per atom
Crystal system: tetragonal

abc: 5.6881 5.6881 5.8434
angles: 90.00 90.00 90.00
Last column: nearest neighbours and their distance in Å.
Atoms (fractional coordinates):
P 0.0000 0.0000 0.5000  2 Ba 2.92
S 0.0000 0.5000 0.0000  2 Ba 2.84
S 0.5000 0.0000 0.0000  2 Ba 2.84
Ba 0.0000 0.0000 0.0000  4 S 2.84, 2 P 2.92
Cu 0.5000 0.5000 0.5000  4 P 4.02, 8 S 4.08

(3)
BaCu2Pb after structural relaxation, computed with PBEsol.

## Properties
DOS at the Fermi energy: 2.42 states/eV/f.u.
Energy of formation from the pure elements: 1.3 eV per formula unit
Crystal system: cubic

abc: 5.1141 5.1141 5.1141
angles: 60.00 60.00 60.00
Last column: nearest neighbours and their distance in Å.
Atoms (fractional coordinates):
Ba 0.5000 0.5000 0.5000  4 Pb 3.13, 4 Cu 3.13
Cu 0.0000 0.0000 0.0000  4 Cu 3.13, 4 Pb 3.13
Cu 0.7500 0.7500 0.7500  4 Ba 3.13, 4 Cu 3.13
Pb 0.2500 0.2500 0.2500  4 Cu 3.13, 4 Ba 3.13